Entry 1:
HoLu2Sb | GGA-PBE | relaxed

Output
Final energy = -4.8670 eV/atom
Energy relative to the lowest polymorph listed for this composition = 0.0 kJ/mol of formula units
Crystal system = tetragonal
Magnetization = 0.000 Bohr magnetons per cell
Raw formation energy = -0.431 eV/atom
SG = No. 123

Unit cell a=3.904 b=3.904 c=7.238 alpha=90.00 beta=90.00 gamma=90.00
Fractional positions:
Sb 0.500 0.500 0.000
Lu 0.000 0.000 0.774
Lu 0.000 0.000 0.226
Ho 0.500 0.500 0.500

***

Entry 2:
HoLu2Sb | GGA-PBE | relaxed

Output
Final energy = -4.6170 eV/atom
Energy relative to the lowest polymorph listed for this composition = 96.5 kJ/mol of formula units
Crystal system = cubic
Magnetization = 0.001 Bohr magnetons per cell
Raw formation energy = -0.181 eV/atom
SG = No. 225

Unit cell a=5.306 b=5.306 c=5.305 alpha=59.99 beta=59.99 gamma=60.00
Fractional positions:
Sb 0.500 0.500 0.500
Lu 0.250 0.250 0.250
Lu 0.750 0.750 0.750
Ho 0.000 0.000 0.000

***

Entry 3:
HoLu2Sc | GGA-PBE | relaxed

Output
Final energy = -4.9399 eV/atom
Energy relative to the lowest polymorph listed for this composition = 0.8 kJ/mol of formula units
Calculated formation energy = 48 meV/atom
Crystal system = tetragonal
Magnetization = 0.000 Bohr magnetons per cell
SG = No. 123

Unit cell a=4.858 b=4.840 c=4.840 alpha=90.00 beta=90.00 gamma=90.00
Fractional positions:
Sc 0.500 0.000 0.000
Lu 0.000 0.000 0.500
Lu 0.000 0.500 0.000
Ho 0.500 0.500 0.500

***

Entry 4:
HoLu2Sc | GGA-PBE | relaxed

Output
Final energy = -4.9418 eV/atom
Energy relative to the lowest polymorph listed for this composition = 0.0 kJ/mol of formula units
Calculated formation energy = 46 meV/atom
Crystal system = tetragonal
Magnetization = 0.000 Bohr magnetons per cell
SG = No. 123

Unit cell a=3.435 b=3.435 c=9.651 alpha=90.00 beta=90.00 gamma=90.00
Fractional positions:
Sc 0.500 0.500 0.000
Lu 0.000 0.000 0.759
Lu 0.000 0.000 0.241
Ho 0.500 0.500 0.500

***

Entry 5:
HoLu2Sc | GGA-PBE | relaxed

Output
Final energy = -4.9396 eV/atom
Energy relative to the lowest polymorph listed for this composition = 0.8 kJ/mol of formula units
Calculated formation energy = 48 meV/atom
Crystal system = trigonal
Magnetization = 0.000 Bohr magnetons per cell
SG = No. 166

Unit cell a=3.437 b=3.437 c=11.308 alpha=81.26 beta=81.26 gamma=60.00
Fractional positions:
Sc 0.000 0.000 0.000
Lu 0.747 0.747 0.758
Lu 0.253 0.253 0.242
Ho 0.500 0.500 0.500

***

Entry 6:
HoLuSc | GGA-PBE | relaxed

Output
Final energy = -5.0646 eV/atom
Energy relative to the lowest polymorph listed for this composition = 8.7 kJ/mol of formula units
Calculated formation energy = 79 meV/atom
Crystal system = hexagonal
Magnetization = 0.004 Bohr magnetons per cell
SG = No. 187

Unit cell a=3.347 b=5.396 c=5.396 alpha=120.00 beta=90.00 gamma=90.00
Fractional positions:
Sc 0.167 0.333 0.667
Lu 0.166 0.000 0.000
Ho 0.667 0.667 0.333

***

Entry 7:
Ho2LuSc | GGA-PBE | relaxed

Output
Final energy = -4.9557 eV/atom
Energy relative to the lowest polymorph listed for this composition = 1.8 kJ/mol of formula units
Calculated formation energy = 46 meV/atom
Crystal system = trigonal
Magnetization = 0.000 Bohr magnetons per cell
SG = No. 166

Unit cell a=3.454 b=3.454 c=11.339 alpha=81.24 beta=81.24 gamma=60.00
Fractional positions:
Sc 0.000 0.000 0.000
Lu 0.500 0.500 0.500
Ho 0.748 0.748 0.757
Ho 0.252 0.252 0.243

***

Entry 8:
HoLuSc | GGA-PBE | relaxed

Output
Final energy = -5.0945 eV/atom
Energy relative to the lowest polymorph listed for this composition = 0.0 kJ/mol of formula units
Calculated formation energy = 49 meV/atom
Crystal system = tetragonal
Magnetization = 0.036 Bohr magnetons per cell
SG = No. 107

Unit cell a=3.425 b=3.425 c=7.601 alpha=103.02 beta=103.02 gamma=90.00
Fractional positions:
Sc 0.667 0.667 0.334
Lu 0.329 0.329 0.658
Ho 0.004 0.004 0.008

***

Entry 9:
HoLu2Sc | GGA-PBE | relaxed

Output
Final energy = -4.8487 eV/atom
Energy relative to the lowest polymorph listed for this composition = 36.0 kJ/mol of formula units
Calculated formation energy = 139 meV/atom
Crystal system = cubic
Magnetization = 0.696 Bohr magnetons per cell
SG = No. 225

Unit cell a=5.470 b=5.470 c=5.470 alpha=60.00 beta=60.00 gamma=60.00
Site moments in Bohr magnetons follow the coordinates.
Fractional positions:
Sc 0.500 0.500 0.500  -0.14
Lu 0.250 0.250 0.250  -0.11
Lu 0.750 0.750 0.750  -0.11
Ho 0.000 0.000 0.000  -0.11

***

Entry 10:
HoLuSc2 | GGA-PBE | relaxed

Output
Final energy = -5.3863 eV/atom
Energy relative to the lowest polymorph listed for this composition = 0.0 kJ/mol of formula units
Calculated formation energy = 54 meV/atom
Crystal system = tetragonal
Magnetization = 0.000 Bohr magnetons per cell
SG = No. 123

Unit cell a=4.708 b=4.810 c=4.810 alpha=90.00 beta=90.00 gamma=90.00
Fractional positions:
Sc 0.000 0.000 0.500
Sc 0.000 0.500 0.000
Lu 0.500 0.000 0.000
Ho 0.500 0.500 0.500

***

Entry 11:
Ho2LuSc | GGA-PBE | relaxed

Output
Final energy = -4.8872 eV/atom
Energy relative to the lowest polymorph listed for this composition = 28.3 kJ/mol of formula units
Calculated formation energy = 115 meV/atom
Crystal system = cubic
Magnetization = 0.000 Bohr magnetons per cell
SG = No. 225

Unit cell a=5.481 b=5.481 c=5.481 alpha=60.00 beta=60.00 gamma=60.00
Fractional positions:
Sc 0.500 0.500 0.500
Lu 0.000 0.000 0.000
Ho 0.250 0.250 0.250
Ho 0.750 0.750 0.750

***

Entry 12:
HoLuSc2 | GGA-PBE | relaxed

Output
Final energy = -5.3411 eV/atom
Energy relative to the lowest polymorph listed for this composition = 17.4 kJ/mol of formula units
Calculated formation energy = 99 meV/atom
Crystal system = tetragonal
Magnetization = 0.000 Bohr magnetons per cell
SG = No. 123

Unit cell a=3.807 b=3.807 c=7.545 alpha=90.00 beta=90.00 gamma=90.00
Fractional positions:
Sc 0.000 0.000 0.758
Sc 0.000 0.000 0.242
Lu 0.500 0.500 0.000
Ho 0.500 0.500 0.500

***

Entry 13:
Ho2LuSc | GGA-PBE | relaxed

Output
Final energy = -4.9571 eV/atom
Energy relative to the lowest polymorph listed for this composition = 1.3 kJ/mol of formula units
Calculated formation energy = 45 meV/atom
Crystal system = tetragonal
Magnetization = 0.001 Bohr magnetons per cell
SG = No. 123

Unit cell a=4.839 b=4.885 c=4.885 alpha=90.00 beta=90.00 gamma=90.00
Fractional positions:
Sc 0.500 0.500 0.500
Lu 0.500 0.000 0.000
Ho 0.000 0.000 0.500
Ho 0.000 0.500 0.000

***

Entry 14:
Ho2LuSc | GGA-PBE | relaxed

Output
Final energy = -4.9605 eV/atom
Energy relative to the lowest polymorph listed for this composition = 0.0 kJ/mol of formula units
Calculated formation energy = 41 meV/atom
Crystal system = tetragonal
Magnetization = 0.001 Bohr magnetons per cell
SG = No. 123

Unit cell a=3.472 b=3.472 c=9.590 alpha=90.00 beta=90.00 gamma=90.00
Fractional positions:
Sc 0.500 0.500 0.000
Lu 0.500 0.500 0.500
Ho 0.000 0.000 0.758
Ho 0.000 0.000 0.242

***

Entry 15:
TbHoLuSc | GGA-PBE | relaxed

Output
Final energy = -4.9069 eV/atom
Calculated formation energy = 108 meV/atom
Crystal system = cubic
Magnetization = 0.000 Bohr magnetons per cell
SG = No. 216

Unit cell a=5.494 b=5.494 c=5.494 alpha=60.00 beta=60.00 gamma=60.00
Fractional positions:
Sc 0.000 0.000 0.000
Lu 0.500 0.500 0.500
Tb 0.250 0.250 0.250
Ho 0.750 0.750 0.750

***

Entry 16:
HoLuScTl | GGA-PBE | relaxed

Output
Final energy = -4.4680 eV/atom
Calculated formation energy = -19 meV/atom
Crystal system = cubic
Magnetization = 1.184 Bohr magnetons per cell
SG = No. 216

Unit cell a=5.296 b=5.296 c=5.296 alpha=60.00 beta=60.00 gamma=60.00
Site moments in Bohr magnetons follow the coordinates.
Fractional positions:
Sc 0.250 0.250 0.250  0.33
Tl 0.000 0.000 0.000  -0.01
Lu 0.500 0.500 0.500  0.28
Ho 0.750 0.750 0.750  0.22

***

Entry 17:
HoTmLuSc | GGA-PBE | relaxed

Output
Final energy = -4.8546 eV/atom
Calculated formation energy = 121 meV/atom
Crystal system = cubic
Magnetization = 0.000 Bohr magnetons per cell
SG = No. 216

Unit cell a=5.470 b=5.470 c=5.470 alpha=60.00 beta=60.00 gamma=60.00
Fractional positions:
Sc 0.000 0.000 0.000
Lu 0.500 0.500 0.500
Tm 0.750 0.750 0.750
Ho 0.250 0.250 0.250

***

Entry 18:
HoLuScZn | GGA-PBE | relaxed

Output
Final energy = -4.1727 eV/atom
Calculated formation energy = 3 meV/atom
Crystal system = cubic
Magnetization = 0.000 Bohr magnetons per cell
SG = No. 216

Unit cell a=5.160 b=5.160 c=5.160 alpha=60.00 beta=60.00 gamma=60.00
Fractional positions:
Sc 0.500 0.500 0.500
Zn 0.000 0.000 0.000
Lu 0.750 0.750 0.750
Ho 0.250 0.250 0.250

***

Entry 19:
HoLuZrSc | GGA-PBE | relaxed

Output
Final energy = -5.8197 eV/atom
Calculated formation energy = 175 meV/atom
Crystal system = cubic
Magnetization = 1.485 Bohr magnetons per cell
SG = No. 216

Unit cell a=5.320 b=5.320 c=5.320 alpha=60.00 beta=60.00 gamma=60.00
Site moments in Bohr magnetons follow the coordinates.
Fractional positions:
Sc 0.000 0.000 0.000  0.24
Lu 0.500 0.500 0.500  0.15
Ho 0.250 0.250 0.250  0.09
Zr 0.750 0.750 0.750  0.51

***

Entry 20:
HoLuSe2 | GGA-PBE | relaxed

Output
Final energy = -5.6738 eV/atom
Crystal system = trigonal
Magnetization = 0.000 Bohr magnetons per cell
Raw formation energy = -1.657 eV/atom
SG = No. 166

Unit cell a=4.017 b=4.017 c=6.969 alpha=73.25 beta=73.25 gamma=60.00
Fractional positions:
Lu 0.000 0.000 0.000
Ho 0.500 0.500 0.500
Se 0.252 0.252 0.243
Se 0.748 0.748 0.757